Record 1
5
Lattice="5.475 0.000 0.000 0.000 5.475 0.000 0.000 0.000 5.475" Properties=species:S:1:pos:R:3 comment="KAs3N, optimized geometry, DFT PBEsol" e_form_raw_kj_per_mol_atoms=257 pbc="T T T"
K 0.000 0.000 0.000
As 0.000 0.000 2.738
As 0.000 2.738 0.000
As 2.738 0.000 0.000
N 2.738 2.738 2.738



Record 2
5
Lattice="4.805 0.000 0.000 0.000 4.805 0.000 0.000 0.000 4.805" Properties=species:S:1:pos:R:3 comment="KAsN3, optimized geometry, DFT PBEsol" e_form_raw_kj_per_mol_atoms=303 pbc="T T T"
K 0.000 0.000 0.000
As 2.402 2.402 2.402
N 0.000 0.000 2.402
N 0.000 2.402 0.000
N 2.402 0.000 0.000



Record 3
5
Lattice="3.917 0.000 0.000 0.000 3.917 0.000 0.000 0.000 3.917" Properties=species:S:1:pos:R:3 comment="KAsN3, optimized geometry, DFT PBEsol" e_form_raw_kj_per_mol_atoms=115 pbc="T T T"
K 0.000 0.000 0.000
As 1.958 1.958 1.958
N 0.000 1.958 1.958
N 1.958 0.000 1.958
N 1.958 1.958 0.000



Record 4
5
Lattice="4.090 0.000 0.000 0.000 4.090 0.000 0.000 0.000 5.086" Properties=species:S:1:pos:R:3 comment="KAsSeN2, optimized geometry, DFT PBEsol" e_form_raw_kj_per_mol_atoms=90 pbc="T T T"
K 0.000 0.000 0.000
As 2.045 2.045 2.543
Se 2.045 2.045 0.000
N 0.000 2.045 2.543
N 2.045 0.000 2.543



Record 5
5
Lattice="5.886 0.000 0.000 0.000 5.886 0.000 0.000 0.000 4.577" Properties=species:S:1:pos:R:3 comment="KTe2AsN, optimized geometry, DFT PBEsol" e_form_raw_kj_per_mol_atoms=169 pbc="T T T"
K 0.000 0.000 0.000
Te 0.000 2.943 0.000
Te 2.943 0.000 0.000
As 2.943 2.943 2.288
N 0.000 0.000 2.288



Record 6
5
Lattice="5.593 0.000 0.000 0.000 5.593 0.000 0.000 0.000 5.593" Properties=species:S:1:pos:R:3 comment="KNa3As, optimized geometry, DFT PBEsol" energy_ev_per_atom=-1.42 pbc="T T T"
K 0.000 0.000 0.000
Na 0.000 0.000 2.797
Na 0.000 2.797 0.000
Na 2.797 0.000 0.000
As 2.797 2.797 2.797



| no. | volume (Å³/cell) |
| --- | --- |
| 1 | 164 |
| 2 | 111 |
| 3 | 60 |
| 4 | 85 |
| 5 | 159 |
| 6 | 175 |